Density functional theory data (PBE-GGA) for Sm2TmIn3 after structural relaxation.

abc: 5.366 16.105 7.574
angles: 90.00 90.01 90.00
Space group C2/m (No. 12)
Symmetry-distinct sites (fractional):
Sm 0.000 0.000 0.000
Sm 0.000 0.000 0.500
Sm 0.000 0.336 0.000
Tm 0.000 0.333 0.500
In 0.000 0.169 0.258
In 0.001 0.500 0.742

Calculated values
ΔE_f (meV/atom): -471
Volume (Å³ per cell): 654.55
Magnetic moment (μB/cell): 0.00